[1]
The following is a PBEsol calculation of a geometry-optimized PPbAuO2 structure, from Alexandria.

Calculated values
VASP energy (eV per atom): -4.391
Volume (Å³ per atom): 18.29
Crystal system: tetragonal
Size of the total moment (μB per formula unit): 0.468
E_form (uncorrected) (eV per formula unit): 2.26

Geometry as CIF:
```
data_PPbAuO2
_chemical_formula_sum 'P1 Pb1 Au1 O2'
_cell_length_a 3.989
_cell_length_b 3.989
_cell_length_c 5.749
_cell_angle_alpha 90.00
_cell_angle_beta 90.00
_cell_angle_gamma 90.00
_space_group_name_H-M_alt 'P 4/m m m'
_space_group_IT_number 123
_space_group_name_Hall '-P 4 2'
loop_
_atom_site_label
_atom_site_type_symbol
_atom_site_fract_x
_atom_site_fract_y
_atom_site_fract_z
P1 P 0.000 0.000 0.000
Pb1 Pb 0.000 0.000 0.500
Au1 Au 0.500 0.500 0.000
O1 O 0.000 0.500 0.500
```

[2]
The following is a PBEsol calculation of a geometry-optimized P2PdAuO structure, from Alexandria.

Calculated values
VASP energy (eV per atom): -4.785
Volume (Å³ per atom): 16.36
Crystal system: tetragonal
Size of the total moment (μB per formula unit): 0.669
E_form (uncorrected) (eV per formula unit): 2.79

Geometry as CIF:
```
data_P2PdAuO
_chemical_formula_sum 'P2 Pd1 Au1 O1'
_cell_length_a 4.712
_cell_length_b 4.712
_cell_length_c 3.684
_cell_angle_alpha 90.00
_cell_angle_beta 90.00
_cell_angle_gamma 90.00
_space_group_name_H-M_alt 'P 4/m m m'
_space_group_IT_number 123
_space_group_name_Hall '-P 4 2'
loop_
_atom_site_label
_atom_site_type_symbol
_atom_site_fract_x
_atom_site_fract_y
_atom_site_fract_z
P1 P 0.000 0.500 0.000
Pd1 Pd 0.000 0.000 0.000
Au1 Au 0.500 0.500 0.500
O1 O 0.000 0.000 0.500
```

[3]
The following is a PBEsol calculation of a geometry-optimized RbPAuO2 structure, from Alexandria.

Calculated values
VASP energy (eV per atom): -3.946
Volume (Å³ per atom): 17.61
Crystal system: tetragonal
Size of the total moment (μB per formula unit): 0.313
E_form (uncorrected) (eV per formula unit): 1.51

Geometry as CIF:
```
data_RbPAuO2
_chemical_formula_sum 'Rb1 P1 Au1 O2'
_cell_length_a 4.418
_cell_length_b 4.418
_cell_length_c 4.511
_cell_angle_alpha 90.00
_cell_angle_beta 90.00
_cell_angle_gamma 90.00
_space_group_name_H-M_alt 'P 4/m m m'
_space_group_IT_number 123
_space_group_name_Hall '-P 4 2'
loop_
_atom_site_label
_atom_site_type_symbol
_atom_site_fract_x
_atom_site_fract_y
_atom_site_fract_z
Rb1 Rb 0.000 0.000 0.000
P1 P 0.500 0.500 0.000
Au1 Au 0.500 0.500 0.500
O1 O 0.000 0.500 0.500
```

[4]
The following is a PBEsol calculation of a geometry-optimized P2RuAuO structure, from Alexandria.

Calculated values
VASP energy (eV per atom): -4.928
Volume (Å³ per atom): 16.72
Crystal system: tetragonal
Size of the total moment (μB per formula unit): 1.702
E_form (uncorrected) (eV per formula unit): 6.29

Geometry as CIF:
```
data_P2RuAuO
_chemical_formula_sum 'P2 Ru1 Au1 O1'
_cell_length_a 4.723
_cell_length_b 4.723
_cell_length_c 3.748
_cell_angle_alpha 90.00
_cell_angle_beta 90.00
_cell_angle_gamma 90.00
_space_group_name_H-M_alt 'P 4/m m m'
_space_group_IT_number 123
_space_group_name_Hall '-P 4 2'
loop_
_atom_site_label
_atom_site_type_symbol
_atom_site_fract_x
_atom_site_fract_y
_atom_site_fract_z
P1 P 0.000 0.500 0.000
Ru1 Ru 0.000 0.000 0.500
Au1 Au 0.500 0.500 0.000
O1 O 0.500 0.500 0.500
```

[5]
The following is a PBEsol calculation of a geometry-optimized PAuS2O structure, from Alexandria.

Calculated values
VASP energy (eV per atom): -3.947
Volume (Å³ per atom): 14.82
Crystal system: tetragonal
Size of the total moment (μB per formula unit): 0.001
E_form (uncorrected) (eV per formula unit): 4.00

Geometry as CIF:
```
data_PAuS2O
_chemical_formula_sum 'P1 Au1 S2 O1'
_cell_length_a 4.318
_cell_length_b 4.318
_cell_length_c 3.975
_cell_angle_alpha 90.00
_cell_angle_beta 90.00
_cell_angle_gamma 90.00
_space_group_name_H-M_alt 'P 4/m m m'
_space_group_IT_number 123
_space_group_name_Hall '-P 4 2'
loop_
_atom_site_label
_atom_site_type_symbol
_atom_site_fract_x
_atom_site_fract_y
_atom_site_fract_z
P1 P 0.000 0.000 0.000
Au1 Au 0.500 0.500 0.000
S1 S 0.000 0.500 0.500
O1 O 0.000 0.000 0.500
```

[6]
The following is a PBEsol calculation of a geometry-optimized P2AuSeO structure, from Alexandria.

Calculated values
VASP energy (eV per atom): -4.333
Volume (Å³ per atom): 16.51
Crystal system: tetragonal
Size of the total moment (μB per formula unit): 0.000
E_form (uncorrected) (eV per formula unit): 2.94

Geometry as CIF:
```
data_P2AuSeO
_chemical_formula_sum 'P2 Au1 Se1 O1'
_cell_length_a 4.811
_cell_length_b 4.811
_cell_length_c 3.568
_cell_angle_alpha 90.00
_cell_angle_beta 90.00
_cell_angle_gamma 90.00
_space_group_name_H-M_alt 'P 4/m m m'
_space_group_IT_number 123
_space_group_name_Hall '-P 4 2'
loop_
_atom_site_label
_atom_site_type_symbol
_atom_site_fract_x
_atom_site_fract_y
_atom_site_fract_z
P1 P 0.000 0.500 0.000
Au1 Au 0.000 0.000 0.500
Se1 Se 0.500 0.500 0.000
O1 O 0.500 0.500 0.500
```

[7]
The following is a PBEsol calculation of a geometry-optimized SrPAuO2 structure, from Alexandria.

Calculated values
VASP energy (eV per atom): -4.777
Volume (Å³ per atom): 16.87
Crystal system: tetragonal
Size of the total moment (μB per formula unit): 0.002
E_form (uncorrected) (eV per formula unit): -1.83

Geometry as CIF:
```
data_SrPAuO2
_chemical_formula_sum 'Sr1 P1 Au1 O2'
_cell_length_a 4.322
_cell_length_b 4.322
_cell_length_c 4.514
_cell_angle_alpha 90.00
_cell_angle_beta 90.00
_cell_angle_gamma 90.00
_space_group_name_H-M_alt 'P 4/m m m'
_space_group_IT_number 123
_space_group_name_Hall '-P 4 2'
loop_
_atom_site_label
_atom_site_type_symbol
_atom_site_fract_x
_atom_site_fract_y
_atom_site_fract_z
Sr1 Sr 0.000 0.000 0.000
P1 P 0.500 0.500 0.000
Au1 Au 0.500 0.500 0.500
O1 O 0.000 0.500 0.500
```

[8]
The following is a PBEsol calculation of a geometry-optimized Ta2PAuO structure, from Alexandria.

Calculated values
VASP energy (eV per atom): -8.187
Volume (Å³ per atom): 15.18
Crystal system: tetragonal
Size of the total moment (μB per formula unit): 0.000
E_form (uncorrected) (eV per formula unit): -0.87

Geometry as CIF:
```
data_Ta2PAuO
_chemical_formula_sum 'Ta2 P1 Au1 O1'
_cell_length_a 4.081
_cell_length_b 4.081
_cell_length_c 4.557
_cell_angle_alpha 90.00
_cell_angle_beta 90.00
_cell_angle_gamma 90.00
_space_group_name_H-M_alt 'P 4/m m m'
_space_group_IT_number 123
_space_group_name_Hall '-P 4 2'
loop_
_atom_site_label
_atom_site_type_symbol
_atom_site_fract_x
_atom_site_fract_y
_atom_site_fract_z
Ta1 Ta 0.000 0.500 0.000
P1 P 0.000 0.000 0.500
Au1 Au 0.500 0.500 0.500
O1 O 0.000 0.000 0.000
```

[9]
The following is a PBEsol calculation of a geometry-optimized PbAuO3 structure, from Alexandria.

Calculated values
VASP energy (eV per atom): -4.983
Volume (Å³ per atom): 13.40
Crystal system: cubic
Size of the total moment (μB per formula unit): 0.000
E_form (uncorrected) (eV per formula unit): -1.24

Geometry as CIF:
```
data_PbAuO3
_chemical_formula_sum 'Pb1 Au1 O3'
_cell_length_a 4.062
_cell_length_b 4.062
_cell_length_c 4.062
_cell_angle_alpha 90.00
_cell_angle_beta 90.00
_cell_angle_gamma 90.00
_space_group_name_H-M_alt 'P m -3 m'
_space_group_IT_number 221
_space_group_name_Hall '-P 4 2 3'
loop_
_atom_site_label
_atom_site_type_symbol
_atom_site_fract_x
_atom_site_fract_y
_atom_site_fract_z
Pb1 Pb 0.000 0.000 0.000
Au1 Au 0.500 0.500 0.500
O1 O 0.000 0.500 0.500
```

[10]
The following is a PBEsol calculation of a geometry-optimized ZnPbAu2O structure, from Alexandria.

Calculated values
VASP energy (eV per atom): -2.938
Volume (Å³ per atom): 23.74
Crystal system: tetragonal
Size of the total moment (μB per formula unit): 1.000
E_form (uncorrected) (eV per formula unit): 3.99

Geometry as CIF:
```
data_ZnPbAu2O
_chemical_formula_sum 'Zn1 Pb1 Au2 O1'
_cell_length_a 4.660
_cell_length_b 4.660
_cell_length_c 5.465
_cell_angle_alpha 90.00
_cell_angle_beta 90.00
_cell_angle_gamma 90.00
_space_group_name_H-M_alt 'P 4/m m m'
_space_group_IT_number 123
_space_group_name_Hall '-P 4 2'
loop_
_atom_site_label
_atom_site_type_symbol
_atom_site_fract_x
_atom_site_fract_y
_atom_site_fract_z
Zn1 Zn 0.000 0.000 0.000
Pb1 Pb 0.000 0.000 0.500
Au1 Au 0.000 0.500 0.000
O1 O 0.500 0.500 0.500
```

[11]
The following is a PBEsol calculation of a geometry-optimized TiPd2AuO structure, from Alexandria.

Calculated values
VASP energy (eV per atom): -4.449
Volume (Å³ per atom): 22.53
Crystal system: tetragonal
Size of the total moment (μB per formula unit): 2.325
E_form (uncorrected) (eV per formula unit): 7.17

Geometry as CIF:
```
data_TiPd2AuO
_chemical_formula_sum 'Ti1 Pd2 Au1 O1'
_cell_length_a 4.849
_cell_length_b 4.849
_cell_length_c 4.789
_cell_angle_alpha 90.00
_cell_angle_beta 90.00
_cell_angle_gamma 90.00
_space_group_name_H-M_alt 'P 4/m m m'
_space_group_IT_number 123
_space_group_name_Hall '-P 4 2'
loop_
_atom_site_label
_atom_site_type_symbol
_atom_site_fract_x
_atom_site_fract_y
_atom_site_fract_z
Ti1 Ti 0.000 0.000 0.000
Pd1 Pd 0.000 0.500 0.500
Au1 Au 0.000 0.000 0.500
O1 O 0.500 0.500 0.000
```

[12]
The following is a PBEsol calculation of a geometry-optimized RbAu3O structure, from Alexandria.

Calculated values
VASP energy (eV per atom): -3.359
Volume (Å³ per atom): 20.09
Crystal system: cubic
Size of the total moment (μB per formula unit): 0.000
E_form (uncorrected) (eV per formula unit): 1.25

Geometry as CIF:
```
data_RbAu3O
_chemical_formula_sum 'Rb1 Au3 O1'
_cell_length_a 4.648
_cell_length_b 4.648
_cell_length_c 4.648
_cell_angle_alpha 90.00
_cell_angle_beta 90.00
_cell_angle_gamma 90.00
_space_group_name_H-M_alt 'P m -3 m'
_space_group_IT_number 221
_space_group_name_Hall '-P 4 2 3'
loop_
_atom_site_label
_atom_site_type_symbol
_atom_site_fract_x
_atom_site_fract_y
_atom_site_fract_z
Rb1 Rb 0.000 0.000 0.000
Au1 Au 0.000 0.500 0.500
O1 O 0.500 0.500 0.500
```

Q: Number 2 is which compound?
A: P2PdAuO